Entry from OQMD via LeMat-Bulk: an optimized crystal structure of Cs2YCuF6 (PBE-GGA).

```
data_Cs2YCuF6
_space_group_name_H-M_alt 'P 1'
_space_group_IT_number 1
_cell_length_a 6.154
_cell_length_b 6.154
_cell_length_c 6.154
_cell_angle_alpha 60.00
_cell_angle_beta 60.00
_cell_angle_gamma 60.00
loop_
_space_group_symop_operation_xyz
'x,y,z'
loop_
_atom_site_label
_atom_site_fract_x
_atom_site_fract_y
_atom_site_fract_z
F1 0.252 0.252 0.748
Y1 0.500 0.500 0.500
Cu1 0.000 0.000 0.000
Cs1 0.750 0.750 0.750
F2 0.748 0.748 0.252
F3 0.252 0.748 0.748
F4 0.748 0.252 0.252
F5 0.748 0.252 0.748
F6 0.252 0.748 0.252
Cs2 0.250 0.250 0.250
```

=====

# TaNbCuTc, relaxed, DFT PBE-GGA
# E above lowest polymorph: 154 meV per atom
# formation energy: 128 meV/atom
data_TaNbCuTc
_space_group_name_H-M_alt 'P 1'
_space_group_IT_number 1
_cell_length_a 4.464
_cell_length_b 4.464
_cell_length_c 4.464
_cell_angle_alpha 60.00
_cell_angle_beta 60.00
_cell_angle_gamma 60.00
loop_
_space_group_symop_operation_xyz
'x,y,z'
loop_
_atom_site_label
_atom_site_fract_x
_atom_site_fract_y
_atom_site_fract_z
Cu1 0.750 0.750 0.750
Ta1 0.250 0.250 0.250
Tc1 0.500 0.500 0.500
Nb1 0.000 0.000 0.000

=====

Entry from OQMD via LeMat-Bulk: an optimized crystal structure of CdPb8Se4Br6Cl4O12 (PBE-GGA).

```
data_CdPb8Se4Br6Cl4O12
_space_group_name_H-M_alt 'P 1'
_space_group_IT_number 1
_cell_length_a 9.670
_cell_length_b 12.175
_cell_length_c 12.906
_cell_angle_alpha 90.00
_cell_angle_beta 90.00
_cell_angle_gamma 90.00
loop_
_space_group_symop_operation_xyz
'x,y,z'
loop_
_atom_site_label
_atom_site_fract_x
_atom_site_fract_y
_atom_site_fract_z
Cl1 0.448 0.277 0.711
Br1 0.500 0.666 0.000
Br2 0.684 0.008 0.646
Br3 0.184 0.492 0.146
Pb1 0.500 0.500 0.187
Pb2 0.500 0.162 0.500
O1 0.169 0.186 0.014
O2 0.608 0.083 0.916
O3 0.892 0.583 0.416
Br4 0.816 0.508 0.146
Br5 0.316 0.008 0.354
Br6 0.000 0.834 0.500
Br7 0.816 0.492 0.854
Cd1 0.000 0.000 0.000
Pb3 0.355 0.128 0.878
Pb4 0.645 0.872 0.878
O4 0.831 0.186 0.986
O5 0.355 0.480 0.360
Cl2 0.948 0.777 0.789
O6 0.831 0.814 0.014
Cd2 0.500 0.500 0.500
O7 0.145 0.980 0.860
Pb5 0.500 0.500 0.813
Pb6 0.145 0.372 0.622
O8 0.392 0.917 0.916
Cl3 0.052 0.223 0.789
Pb7 0.500 0.838 0.500
Se1 0.760 0.858 0.131
Br8 0.500 0.334 0.000
O9 0.355 0.520 0.640
Pb8 0.855 0.628 0.622
Se2 0.240 0.142 0.131
Cl4 0.552 0.723 0.711
Se3 0.260 0.642 0.631
Br9 0.000 0.166 0.500
O10 0.108 0.583 0.584
O11 0.331 0.686 0.514
Pb9 0.855 0.372 0.378
Pb10 0.000 0.338 0.000
Pb11 0.000 0.662 0.000
Se4 0.240 0.858 0.869
Cl5 0.552 0.277 0.289
O12 0.855 0.020 0.860
O13 0.392 0.083 0.084
O14 0.855 0.980 0.140
O15 0.331 0.314 0.486
Cl6 0.448 0.723 0.289
O16 0.669 0.314 0.514
O17 0.645 0.520 0.360
O18 0.145 0.020 0.140
Pb12 0.645 0.128 0.122
Br10 0.316 0.992 0.646
Pb13 0.145 0.628 0.378
Se5 0.740 0.642 0.369
O19 0.892 0.417 0.584
Se6 0.260 0.358 0.369
O20 0.108 0.417 0.416
Pb14 0.000 0.000 0.313
O21 0.645 0.480 0.640
Br11 0.184 0.508 0.854
Cl7 0.948 0.223 0.211
Pb15 0.355 0.872 0.122
Pb16 0.000 0.000 0.687
O22 0.608 0.917 0.084
Se7 0.740 0.358 0.631
Cl8 0.052 0.777 0.211
Se8 0.760 0.142 0.869
Br12 0.684 0.992 0.354
O23 0.669 0.686 0.486
O24 0.169 0.814 0.986
```

=====

# LaSn2IrPd, relaxed, DFT PBE-GGA
# E above lowest polymorph: 25 meV per atom
data_LaSn2IrPd
_space_group_name_H-M_alt 'P 1'
_space_group_IT_number 1
_cell_length_a 4.508
_cell_length_b 4.508
_cell_length_c 11.089
_cell_angle_alpha 90.00
_cell_angle_beta 90.00
_cell_angle_gamma 90.00
loop_
_space_group_symop_operation_xyz
'x,y,z'
loop_
_atom_site_label
_atom_site_fract_x
_atom_site_fract_y
_atom_site_fract_z
Sn1 0.500 0.500 0.500
Pd1 0.500 0.000 0.363
Ir1 0.500 0.500 0.000
La1 0.500 0.000 0.762
La2 0.000 0.500 0.238
Sn2 0.500 0.000 0.129
Ir2 0.000 0.000 0.000
Sn3 0.000 0.500 0.871
Pd2 0.000 0.500 0.637
Sn4 0.000 0.000 0.500

=====

# Cs2TlCuF6, relaxed, DFT PBE-GGA
# E above lowest polymorph: 0 meV per atom
data_Cs2TlCuF6
_space_group_name_H-M_alt 'P 1'
_space_group_IT_number 1
_cell_length_a 6.167
_cell_length_b 6.167
_cell_length_c 6.167
_cell_angle_alpha 120.01
_cell_angle_beta 120.01
_cell_angle_gamma 89.99
loop_
_space_group_symop_operation_xyz
'x,y,z'
loop_
_atom_site_label
_atom_site_fract_x
_atom_site_fract_y
_atom_site_fract_z
F1 0.266 0.734 0.000
F2 0.266 0.266 0.000
Cs1 0.250 0.750 0.500
F3 0.734 0.734 0.468
F4 0.734 0.734 0.000
Tl1 0.000 0.000 0.000
Cs2 0.750 0.250 0.500
F5 0.266 0.266 0.532
Cu1 0.500 0.500 0.000
F6 0.734 0.266 0.000

=====

# ZnPt17, relaxed, DFT PBE-GGA
# formation energy: 64 meV/atom
data_ZnPt17
_space_group_name_H-M_alt 'P 1'
_space_group_IT_number 1
_cell_length_a 4.802
_cell_length_b 5.531
_cell_length_c 34.158
_cell_angle_alpha 90.00
_cell_angle_beta 90.17
_cell_angle_gamma 90.00
loop_
_space_group_symop_operation_xyz
'x,y,z'
loop_
_atom_site_label
_atom_site_fract_x
_atom_site_fract_y
_atom_site_fract_z
Pt1 0.334 0.998 0.227
Pt2 0.667 0.500 0.568
Pt3 0.166 0.250 0.363
Pt4 0.168 0.250 0.568
Pt5 0.501 0.250 0.705
Pt6 0.000 0.998 0.706
Pt7 0.333 0.500 0.432
Pt8 0.666 0.002 0.773
Pt9 0.166 0.750 0.364
Pt10 0.505 0.250 0.293
Pt11 0.833 0.250 0.431
Pt12 0.333 0.000 0.432
Pt13 0.000 0.002 0.294
Pt14 0.666 0.001 0.363
Zn1 0.835 0.250 0.225
Pt15 0.000 0.000 0.500
Pt16 0.495 0.750 0.707
Pt17 0.500 0.250 0.500
Pt18 0.334 0.501 0.637
Pt19 0.167 0.750 0.569
Pt20 0.666 0.499 0.363
Pt21 0.667 0.000 0.568
Pt22 0.666 0.498 0.773
Pt23 0.000 0.498 0.294
Pt24 0.334 0.502 0.227
Pt25 0.334 0.999 0.637
Pt26 0.500 0.750 0.500
Pt27 0.170 0.250 0.773
Pt28 0.830 0.750 0.227
Pt29 0.832 0.750 0.432
Pt30 0.499 0.750 0.295
Zn2 0.165 0.750 0.775
Pt31 0.834 0.250 0.636
Pt32 0.000 0.500 0.500
Pt33 0.834 0.750 0.637
Pt34 0.000 0.502 0.706

=====

Results for final energy: -5.165; -8.879; -4.497; -6.104; -4.004; -5.725 (in eV/atom, following the order of the records).